Material: SrZr3As
Method: DFT, GGA-PBEsol
State: relaxed

```
data_SrZr3As
_cell_length_a 5.015
_cell_length_b 5.015
_cell_length_c 5.015
_cell_angle_alpha 90.00
_cell_angle_beta 90.00
_cell_angle_gamma 90.00
_space_group_name_H-M_alt 'P m -3 m'
_space_group_IT_number 221
_space_group_name_Hall '-P 4 2 3'
loop_
_atom_site_label
_atom_site_type_symbol
_atom_site_fract_x
_atom_site_fract_y
_atom_site_fract_z
Sr1 Sr 0.000 0.000 0.000
Zr1 Zr 0.000 0.000 0.500
As1 As 0.500 0.500 0.500
```

Calculated values
Crystal system = cubic
D(E_F) = 8.8 states/eV/cell
ΔH_f (0 K) = 1.800 eV/atom
V = 25.2 Å³ per atom
Total energy = -5.04 eV/atom

Material: MgZn2Cd
Method: DFT, GGA-PBEsol
State: relaxed

```
data_MgZn2Cd
_cell_length_a 4.136
_cell_length_b 4.136
_cell_length_c 8.140
_cell_angle_alpha 90.00
_cell_angle_beta 90.00
_cell_angle_gamma 90.00
_space_group_name_H-M_alt 'I 4/m m m'
_space_group_IT_number 139
_space_group_name_Hall '-I 4 2'
loop_
_atom_site_label
_atom_site_type_symbol
_atom_site_fract_x
_atom_site_fract_y
_atom_site_fract_z
Mg1 Mg 0.000 0.000 0.000
Zn1 Zn 0.000 0.500 0.250
Cd1 Cd 0.000 0.000 0.500
```

Calculated values
Crystal system = tetragonal
D(E_F) = 2.6 states/eV/cell
Relative energy among the computed polymorphs = 28 meV per atom
ΔH_f (0 K) = -0.007 eV/atom
V = 17.4 Å³ per atom
Total energy = -1.53 eV/atom

Material: Re2NiPb
Method: DFT, GGA-PBEsol
State: relaxed

```
data_Re2NiPb
_cell_length_a 6.282
_cell_length_b 6.282
_cell_length_c 6.282
_cell_angle_alpha 90.00
_cell_angle_beta 90.00
_cell_angle_gamma 90.00
_space_group_name_H-M_alt 'F -4 3 m'
_space_group_IT_number 216
_space_group_name_Hall 'F -4 2 3'
loop_
_atom_site_label
_atom_site_type_symbol
_atom_site_fract_x
_atom_site_fract_y
_atom_site_fract_z
Re1 Re 0.000 0.000 0.000
Re2 Re 0.250 0.250 0.250
Ni1 Ni 0.000 0.000 0.500
Pb1 Pb 0.250 0.250 0.750
```

Calculated values
Crystal system = cubic
D(E_F) = 14.8 states/eV/cell
ΔH_f (0 K) = 0.800 eV/atom
V = 15.5 Å³ per atom
Total energy = -8.40 eV/atom